Below is a relaxed CsZr2Tc crystal, with properties calculated at the GGA-PBE level.

## Properties
* E_tot: -23.9 eV/f.u.
* density: 7.628 g/cm3
* formation enthalpy at 0 K: 1.1002 eV per atom
* spin magnetization: 0.00 μB/f.u.

Cell lengths 7.113, 7.113, 7.113 Å; angles 90.00, 90.00, 90.00 degrees
Space group Fm-3m (No. 225)
Unique sites:
1 Cs 0.000 0.000 0.000 x4
2 Zr 0.250 0.250 0.250 x8
3 Tc 0.000 0.000 0.500 x4

***

Below is a relaxed LiBeRu3 crystal, with properties calculated at the GGA-PBE level.

## Properties
* E_tot: -30.1 eV/f.u.
* distance to the lowest polymorph of the same formula: 0 meV/atom
* density: 7.509 g/cm3
* formation enthalpy at 0 K: 0.6709 eV per atom
* spin magnetization: 2.17 μB/f.u.

Cell lengths 4.133, 4.133, 4.133 Å; angles 90.00, 90.00, 90.00 degrees
Space group Pm-3m (No. 221)
Unique sites:
1 Li 0.000 0.000 0.000 x1
2 Be 0.500 0.500 0.500 x1
3 Ru 0.000 0.500 0.500 x3

***

Below is a relaxed V2CrB2 crystal, with properties calculated at the GGA-PBE level.

## Properties
* E_tot: -44.7 eV/f.u.
* distance to the lowest polymorph of the same formula: 0 meV/atom
* density: 6.119 g/cm3
* formation enthalpy at 0 K: -0.7037 eV per atom
* spin magnetization: 0.00 μB/f.u.

Cell lengths 5.632, 5.632, 3.003 Å; angles 90.00, 90.00, 90.00 degrees
Space group P4/mbm (No. 127)
Unique sites:
1 V 0.179 0.321 0.000 x4
2 Cr 0.000 0.000 0.500 x2
3 B 0.113 0.613 0.500 x4

***

- Number 3 is which compound?
  V2CrB2

***

- What is the spin magnetization in the third record?
  0.00 μB/f.u.

***

- Number 3 is which compound?
  V2CrB2

***

Repeat the first record exactly.
Below is a relaxed CsZr2Tc crystal, with properties calculated at the GGA-PBE level.

## Properties
* E_tot: -23.9 eV/f.u.
* density: 7.628 g/cm3
* formation enthalpy at 0 K: 1.1002 eV per atom
* spin magnetization: 0.00 μB/f.u.

Cell lengths 7.113, 7.113, 7.113 Å; angles 90.00, 90.00, 90.00 degrees
Space group Fm-3m (No. 225)
Unique sites:
1 Cs 0.000 0.000 0.000 x4
2 Zr 0.250 0.250 0.250 x8
3 Tc 0.000 0.000 0.500 x4